Record 1
{
  "formula": "Be17TcNi",
  "functional": "GGA-PBE",
  "state": "optimized geometry",
  "magmom_total_mub_per_cell": 0.000,
  "formation_enthalpy_0k_mev_per_atom": -131.9,
  "e_tot_ev_per_atom": -4.316,
  "volume_a3_per_atom": 8.34,
  "lattice": [[-2.5251, 4.8178, -0.3970], [-3.3204, -0.5861, 4.2868], [3.0481, 2.6977, 3.6300]],
  "species": ["Be", "Be", "Be", "Be", "Be", "Be", "Be", "Be", "Be", "Be", "Be", "Be", "Be", "Tc", "Be", "Be", "Be", "Ni", "Be"],
  "fractional_positions": [[0.9893, 0.5042, 0.9893], [0.8981, 0.8981, 0.8981], [0.9893, 0.9893, 0.5042], [0.6886, 0.3054, 0.0027], [0.1046, 0.1046, 0.1046], [0.0027, 0.3054, 0.6886], [0.3483, 0.3483, 0.8326], [0.6529, 0.6529, 0.1620], [0.3483, 0.8326, 0.3483], [0.3054, 0.6886, 0.0027], [0.0027, 0.6886, 0.3054], [0.6529, 0.1620, 0.6529], [0.1620, 0.6529, 0.6529], [0.6620, 0.6620, 0.6620], [0.3054, 0.0027, 0.6886], [0.6886, 0.0027, 0.3054], [0.5042, 0.9893, 0.9893], [0.3622, 0.3622, 0.3622], [0.8326, 0.3483, 0.3483]]
}

Record 2
{
  "formula": "NdDy5Tm2Th",
  "functional": "GGA-PBE",
  "state": "optimized geometry",
  "magmom_total_mub_per_cell": 0.000,
  "formation_enthalpy_0k_mev_per_atom": 166.2,
  "e_tot_ev_per_atom": -4.738,
  "volume_a3_per_atom": 32.69,
  "lattice": [[5.7140, 0.0000, 0.0000], [-2.8570, 10.6216, 0.0000], [0.0000, 0.0000, 9.6951]],
  "species": ["Dy", "Nd", "Th", "Dy", "Th", "Tm", "Tm", "Tm", "Dy", "Nd", "Dy", "Dy", "Dy", "Dy", "Tm", "Dy", "Dy", "Dy"],
  "fractional_positions": [[0.4708, 0.9416, 0.7429], [0.4044, 0.8088, 0.4230], [0.8097, 0.6193, 0.5242], [0.5292, 0.0584, 0.2429], [0.1903, 0.3807, 0.0242], [0.1329, 0.2658, 0.7072], [0.8876, 0.7751, 0.8241], [0.8671, 0.7342, 0.2072], [0.2675, 0.5349, 0.3338], [0.5956, 0.1912, 0.9230], [0.0135, 0.0271, 0.0162], [0.6067, 0.2134, 0.5372], [0.3933, 0.7866, 0.0372], [0.7325, 0.4651, 0.8338], [0.1124, 0.2249, 0.3241], [0.3050, 0.6101, 0.7154], [0.6950, 0.3899, 0.2154], [0.9865, 0.9729, 0.5162]]
}

Record 3
{
  "formula": "Pr2TmSc",
  "functional": "GGA-PBE",
  "state": "optimized geometry",
  "magmom_total_mub_per_cell": 0.001,
  "formation_enthalpy_0k_mev_per_atom": 65.1,
  "relative_energy_mev_per_atom": 26,
  "e_tot_ev_per_atom": -5.025,
  "volume_a3_per_atom": 31.54,
  "lattice": [[-2.8345, -1.5358, 1.5228], [-0.5112, -3.5139, -0.3214], [4.9680, -3.4417, 9.9503]],
  "species": ["Pr", "Sc", "Pr", "Tm"],
  "fractional_positions": [[0.2471, 0.2471, 0.2586], [0.4996, 0.4996, 0.5012], [0.0858, 0.0858, 0.7425], [0.6675, 0.6675, 0.9976]]
}

Record 4
{
  "formula": "YTm2H",
  "functional": "GGA-PBE",
  "state": "optimized geometry",
  "magmom_total_mub_per_cell": 0.000,
  "relative_energy_mev_per_atom": 326,
  "e_tot_ev_per_atom": -4.557,
  "volume_a3_per_atom": 23.10,
  "lattice": [[3.3186, 0.0000, 0.0000], [0.0000, 3.3186, 0.0000], [0.0000, 0.0000, 8.3898]],
  "species": ["Y", "Tm", "H", "Tm"],
  "fractional_positions": [[0.5000, 0.5000, 0.5000], [0.0000, 0.0000, 0.1913], [0.5000, 0.5000, 0.0000], [0.0000, 0.0000, 0.8087]]
}